Density functional theory data (PBE) for a relaxed structure of CoAsPt2.

Unit cell a=4.640 b=4.640 c=4.663 alpha=81.64 beta=81.64 gamma=37.12
Fractional coordinates of all 4 atoms:
Pt: 0.509 0.509 0.491
As: 0.750 0.750 0.750
Pt: 0.991 0.991 0.009
Co: 0.250 0.250 0.250

## Properties
Its space group is No. 12. The total magnetic moment comes out at 1.9 μB/cell. The value obtained for the energy relative to the elements is 0.00 eV/atom.